# 1
A relaxed RbBi2Pd crystal, computed with GGA-PBE.

extended XYZ file:
```
8
Lattice="-3.0682 3.0682 9.1904 3.0682 -3.0682 9.1904 3.0682 3.0682 -9.1904" Properties=species:S:1:pos:R:3 pbc="T T T"
Rb 3.0682 1.5341 2.2976
Rb 0.0000 1.5341 6.8928
Bi 0.0000 0.0000 0.0000
Bi 1.5341 1.5341 -4.5952
Bi 1.5341 -1.5341 4.5952
Bi 0.0000 3.0682 0.0000
Pd 3.0682 -1.5341 6.8928
Pd 0.0000 4.6023 2.2976
```

Computed properties:
Electronic total energy in eV/atom: -3.5306
SG: I4_1/amd
Energy above the lowest structure with this stoichiometry in meV/atom: 245.1
D(E_F) in states/eV/cell: 6.12

---

# 2
A relaxed AcTb6YHo2 crystal, computed with GGA-PBE.

extended XYZ file:
```
20
Lattice="4.6060 -7.6541 0.0000 4.6060 7.6541 0.0000 -0.8923 0.0000 9.5393" Properties=species:S:1:pos:R:3 pbc="T T T"
Ac 3.9368 7.2137 7.1545
Ac 4.3829 -7.2137 2.3848
Tb 2.0294 4.1392 6.4947
Tb 3.9935 4.7603 0.5389
Tb 4.7724 4.7603 4.2307
Tb 2.8811 1.6862 8.4157
Tb 5.8442 4.1392 7.8142
Tb 4.9925 1.6862 5.8932
Tb 3.3272 -1.6862 3.6460
Tb 2.4755 -4.1392 1.7251
Tb 5.4386 -1.6862 1.1236
Tb 3.5473 -4.7603 5.3086
Tb 4.3263 -4.7603 9.0004
Tb 6.2903 -4.1392 3.0446
Y 4.3829 1.3530 2.3848
Y 3.9368 -1.3530 7.1545
Ho 1.9014 0.8733 5.2236
Ho 2.3475 -0.8733 0.4539
Ho 5.9722 0.8733 9.0853
Ho 6.4184 -0.8733 4.3157
```

Computed properties:
Electronic total energy in eV/atom: -4.6254
SG: C2/c
D(E_F) in states/eV/cell: 29.61

---

# 3
A relaxed Ac2HgAu6 crystal, computed with GGA-PBE.

extended XYZ file:
```
9
Lattice="5.7187 -3.2978 0.0000 5.7187 3.2978 0.0000 -0.0030 0.0000 5.8057" Properties=species:S:1:pos:R:3 pbc="T T T"
Ac 1.9047 0.0000 1.0164
Ac 9.5297 0.0000 4.7893
Hg 5.7187 0.0000 0.0000
Au 4.6537 1.8391 1.8964
Au 3.5871 0.0000 3.9122
Au 6.7807 1.8391 3.9093
Au 4.6537 -1.8391 1.8964
Au 7.8473 0.0000 1.8935
Au 6.7807 -1.8391 3.9093
```

Computed properties:
Electronic total energy in eV/atom: -3.7046
SG: C2/m
Energy above the lowest structure with this stoichiometry in meV/atom: 0.0
D(E_F) in states/eV/cell: 4.40

---

# 4
A relaxed CsMgAlH6 crystal, computed with GGA-PBE.

extended XYZ file:
```
9
Lattice="4.9303 0.0000 0.0000 -2.4651 4.2697 0.0000 0.0000 0.0000 6.3650" Properties=species:S:1:pos:R:3 pbc="T T T"
Cs 0.0000 0.0000 0.0000
Mg 0.0000 2.8465 3.1825
Al 2.4651 1.4232 3.1825
H 1.8674 0.1197 4.2051
H 1.0374 1.5573 2.1599
H 3.0629 0.1197 2.1599
H 1.6351 2.5927 4.2051
H 3.8929 1.5573 4.2051
H 3.2952 2.5927 2.1599
```

Computed properties:
Electronic total energy in eV/atom: -3.1198
SG: P312
D(E_F) in states/eV/cell: 0.00

---

# 5
A relaxed TbLuRh4 crystal, computed with GGA-PBE.

extended XYZ file:
```
6
Lattice="0.0000 3.7594 3.7594 3.7594 0.0000 3.7594 3.7594 3.7594 0.0000" Properties=species:S:1:pos:R:3 pbc="T T T"
Tb 0.0000 0.0000 0.0000
Lu 5.6391 5.6391 5.6391
Rh 2.8205 2.8205 2.8205
Rh 4.6983 4.6983 2.8205
Rh 4.6983 2.8205 4.6983
Rh 2.8205 4.6983 4.6983
```

Computed properties:
Electronic total energy in eV/atom: -7.1764
SG: F-43m
D(E_F) in states/eV/cell: 4.20

---

# 6
A relaxed La4Pr3NdSe8 crystal, computed with GGA-PBE.

extended XYZ file:
```
16
Lattice="4.2913 2.4776 6.9806 -4.2913 2.4776 6.9806 0.0000 -4.9551 6.9806" Properties=species:S:1:pos:R:3 pbc="T T T"
La 0.0000 0.0000 0.0000
La -2.1456 -1.2388 6.9806
La -2.1456 1.2388 13.9613
La 0.0000 2.4776 6.9806
Pr -4.2913 0.0000 10.4709
Pr -2.1456 1.2388 3.4903
Pr 2.1456 1.2388 3.4903
Nd 0.0000 0.0000 10.4710
Se 0.0000 0.0000 5.2252
Se -2.1364 -1.2335 12.1984
Se 0.0000 -2.4669 8.7435
Se -2.1364 1.2335 8.7435
Se 2.1364 -1.2335 12.1984
Se 0.0000 2.4669 12.1984
Se 2.1364 1.2335 8.7435
Se 0.0000 0.0000 15.7167
```

Computed properties:
Electronic total energy in eV/atom: -6.0930
SG: R-3m
D(E_F) in states/eV/cell: 10.27
Formation energy (no corrections) in kJ/mol of formula units: -2971